Record 1
## CsK2Pm (PBE)

Data for a relaxed CsK2Pm crystal.

Calculated values
Total DFT energy (no corrections): -1.487 eV/atom
D(E_F): 1.473 states/eV per atom
Energy of formation from the pure elements: 0.46 eV/atom
Crystal system: trigonal

CIF file:
```
data_CsK2Pm
_cell_length_a 4.0571
_cell_length_b 4.0571
_cell_length_c 49.2481
_cell_angle_alpha 90.00
_cell_angle_beta 90.00
_cell_angle_gamma 120.00
_symmetry_space_group_name_H-M 'R -3 m'
_symmetry_Int_Tables_number 166
_symmetry_space_group_name_Hall '-R 3 2"'
loop_
_atom_site_label
_atom_site_type_symbol
_atom_site_fract_x
_atom_site_fract_y
_atom_site_fract_z
Cs1 Cs 0.0000 0.0000 0.0000
K1 K 0.0000 0.0000 0.4229
Pm1 Pm 0.0000 0.0000 0.5000
```

***

Record 2
## ZrFeTe2 (PBE)

Data for a relaxed ZrFeTe2 crystal.

Calculated values
Energy relative to the elements, uncorrected: 0.3121 eV per atom
Total DFT energy (no corrections): -5.511 eV/atom
D(E_F): 0.736 states/eV per atom
Crystal system: cubic

CIF file:
```
data_ZrFeTe2
_cell_length_a 7.091
_cell_length_b 7.091
_cell_length_c 7.091
_cell_angle_alpha 90.00
_cell_angle_beta 90.00
_cell_angle_gamma 90.00
_symmetry_space_group_name_H-M 'F -4 3 m'
_symmetry_Int_Tables_number 216
_symmetry_space_group_name_Hall 'F -4 2 3'
loop_
_atom_site_label
_atom_site_type_symbol
_atom_site_fract_x
_atom_site_fract_y
_atom_site_fract_z
Zr1 Zr 0.000 0.000 0.000
Fe1 Fe 0.250 0.250 0.250
Te1 Te 0.000 0.000 0.500
Te2 Te 0.250 0.250 0.750
```

***

Record 3
## PmTcGe4 (PBE)

Data for a relaxed PmTcGe4 crystal.

Calculated values
Total DFT energy (no corrections): -5.824 eV/atom
D(E_F): 0.745 states/eV per atom
Energy of formation from the pure elements: -0.23 eV/atom
Crystal system: triclinic

CIF file:
```
data_PmTcGe4
_cell_length_a 6.335
_cell_length_b 6.519
_cell_length_c 6.912
_cell_angle_alpha 92.97
_cell_angle_beta 90.00
_cell_angle_gamma 119.07
_symmetry_space_group_name_H-M 'P -1'
_symmetry_Int_Tables_number 2
loop_
_symmetry_equiv_pos_as_xyz
'x,y,z'
'-x,-y,-z'
loop_
_atom_site_label
_atom_site_type_symbol
_atom_site_fract_x
_atom_site_fract_y
_atom_site_fract_z
Pm1 Pm 0.099 0.499 0.250
Tc1 Tc 0.000 0.000 0.500
Tc2 Tc 0.500 0.000 0.000
Ge1 Ge 0.135 0.998 0.152
Ge2 Ge 0.317 0.396 0.593
Ge3 Ge 0.364 0.999 0.651
Ge4 Ge 0.421 0.604 0.907
```